Record 1
An optimized crystal structure of Ca3AcV4O12. Source: Alexandria via LeMat-Bulk, functional PBE+U.

The structure belongs to space group R32 (No. 155, hexagonal axes); the cell edges are 11.4939, 11.4939 and 8.7046 Å and the angles 90.00°, 90.00° and 120.00°. The distinct sites, in fractional coordinates, are Ca at (0.0000, 0.5547, 0.0000), Ac at (0.0000, 0.0000, 0.0000), V at (0.0000, 0.0000, 0.5000), V at (0.0000, 0.4437, 0.5000), O at (0.0000, 0.5932, 0.5000), O at (0.0000, 0.8489, 0.5000) and O at (0.0327, 0.2016, 0.1721).

For the total DFT energy (no corrections), the calculation gives -7.254 eV/atom. As for the spin magnetization: 3.0 μB/f.u. The density of states at the Fermi level comes out at 5.829 states/eV/cell.

Record 2
An optimized crystal structure of Ca2AcVO5. Source: Alexandria via LeMat-Bulk, functional PBE+U.

The structure belongs to space group Immm (No. 71); the cell edges are 3.740, 5.782 and 11.507 Å and the angles 90.00°, 90.00° and 90.00°. The distinct sites, in fractional coordinates, are Ca at (0.000, 0.000, 0.210), Ac at (0.000, 0.500, 0.000), V at (0.000, 0.500, 0.500), O at (0.000, 0.000, 0.000) and O at (0.000, 0.245, 0.370).

For the total DFT energy (no corrections), the calculation gives -7.248 eV/atom. As for the spin magnetization: 2.0 μB/f.u. The density of states at the Fermi level comes out at 1.584 states/eV/cell.

Record 3
An optimized crystal structure of CaAcVO5. Source: Alexandria via LeMat-Bulk, functional PBE+U.

The structure belongs to space group C2/c (No. 15); the cell edges are 7.219, 9.657 and 8.318 Å and the angles 90.00°, 106.84° and 90.00°. The distinct sites, in fractional coordinates, are Ca at (0.000, 0.158, 0.250), Ac at (0.000, 0.500, 0.000), V at (0.000, 0.179, 0.750), O at (0.000, 0.382, 0.250), O at (0.133, 0.067, 0.906) and O at (0.149, 0.290, 0.675).

For the total DFT energy (no corrections), the calculation gives -7.461 eV/atom. As for the spin magnetization: 0.0 μB/f.u. The density of states at the Fermi level comes out at 0.000 states/eV/cell.

Record 4
An optimized crystal structure of CaAcW2O8. Source: Alexandria via LeMat-Bulk, functional PBE+U.

The structure belongs to space group P-3m1 (No. 164); the cell edges are 5.9917, 5.9917 and 7.4474 Å and the angles 90.00°, 90.00° and 120.00°. The distinct sites, in fractional coordinates, are Ca at (0.0000, 0.0000, 0.0000), Ac at (0.0000, 0.0000, 0.5000), W at (0.3333, 0.6667, 0.8176), O at (0.1607, 0.3214, 0.7596) and O at (0.3333, 0.6667, 0.0557).

For the total DFT energy (no corrections), the calculation gives -7.327 eV/atom. As for the spin magnetization: 0.0 μB/f.u. The density of states at the Fermi level comes out at 2.055 states/eV/cell.

Record 5
An optimized crystal structure of CaAc2WO8. Source: Alexandria via LeMat-Bulk, functional PBE+U.

The structure belongs to space group P-1 (No. 2); the cell edges are 4.644, 5.585 and 7.409 Å and the angles 90.05°, 90.03° and 92.32°. The distinct sites, in fractional coordinates, are Ca at (0.000, 0.000, 0.000), Ac at (0.499, 0.500, 0.753), W at (0.000, 0.000, 0.500), O at (0.059, 0.766, 0.313), O at (0.059, 0.769, 0.688), O at (0.397, 0.260, 0.000) and O at (0.419, 0.110, 0.500).

For the total DFT energy (no corrections), the calculation gives -7.244 eV/atom. As for the spin magnetization: 0.0 μB/f.u. The density of states at the Fermi level comes out at 0.000 states/eV/cell.